[1]
16
Lattice="6.721 0.000 0.000 0.000 6.721 0.000 0.000 0.000 6.721" Properties=species:S:1:pos:R:3 comment="LaYCo2 | Alexandria | PBE | optimized geometry" polymorph_energy_mev_per_atom=446 space_group=F-43m pbc="T T T"
La 0.000 0.000 0.000
La 0.000 3.360 3.360
La 3.360 0.000 3.360
La 3.360 3.360 0.000
Y 1.680 1.680 1.680
Y 1.680 5.041 5.041
Y 5.041 1.680 5.041
Y 5.041 5.041 1.680
Co 0.000 0.000 3.360
Co 0.000 3.360 0.000
Co 1.680 1.680 5.041
Co 1.680 5.041 1.680
Co 3.360 0.000 0.000
Co 3.360 3.360 3.360
Co 5.041 1.680 1.680
Co 5.041 5.041 5.041

---

[2]
10
Lattice="4.970 0.000 0.000 0.000 4.970 0.000 0.000 0.000 10.252" Properties=species:S:1:pos:R:3 comment="La2YCo2 | Alexandria | PBE | optimized geometry" polymorph_energy_mev_per_atom=357 space_group=I4/mmm pbc="T T T"
La 0.000 0.000 1.730
La 0.000 0.000 8.522
La 2.485 2.485 3.396
La 2.485 2.485 6.856
Y 0.000 0.000 5.126
Y 2.485 2.485 0.000
Co 0.000 2.485 2.563
Co 0.000 2.485 7.689
Co 2.485 0.000 2.563
Co 2.485 0.000 7.689

---

[3]
10
Lattice="4.698 -5.691 0.000 4.698 5.691 0.000 -4.324 0.000 5.973" Properties=species:S:1:pos:R:3 comment="La3YCo | Alexandria | PBE | optimized geometry" polymorph_energy_mev_per_atom=0 space_group=C2/m pbc="T T T"
La 1.305 3.188 4.536
La 3.767 3.188 1.437
La 1.962 0.000 1.408
La 3.110 0.000 4.565
La 1.305 -3.188 4.536
La 3.767 -3.188 1.437
Y -0.746 0.000 4.109
Y 5.818 0.000 1.864
Co -0.795 0.000 1.148
Co 5.867 0.000 4.825

---

[4]
6
Lattice="5.925 0.000 0.000 0.000 4.088 0.000 -2.536 0.000 6.657" Properties=species:S:1:pos:R:3 comment="LaYCo | Alexandria | PBE | optimized geometry" polymorph_energy_mev_per_atom=20 space_group=P2_1/m pbc="T T T"
La -0.632 1.022 1.959
La 4.021 3.066 4.698
Y 2.182 3.066 1.218
Y 1.207 1.022 5.439
Co -1.573 1.022 6.344
Co 4.962 3.066 0.313

---

[5]
11
Lattice="7.853 0.000 0.000 -3.927 6.801 0.000 0.000 0.000 6.465" Properties=species:S:1:pos:R:3 comment="La7YCo3 | Alexandria | PBE | optimized geometry" space_group=P3m1 pbc="T T T"
La 0.000 0.000 0.000
La 0.000 2.270 3.087
La -1.961 5.666 3.087
La 3.927 0.025 6.414
La 1.985 3.388 6.414
La 1.961 5.666 3.087
La 5.869 3.388 6.414
Y 3.927 2.267 3.038
Co 1.967 1.135 1.507
Co 5.887 1.135 1.507
Co 3.927 4.530 1.507

---

[6]
8
Lattice="3.912 0.000 0.000 0.000 5.750 0.000 0.000 0.000 7.640" Properties=species:S:1:pos:R:3 comment="LaYCo2 | Alexandria | PBE | optimized geometry" polymorph_energy_mev_per_atom=9 space_group=Pmc2_1 pbc="T T T"
La 0.000 0.737 0.000
La 0.000 5.013 3.820
Y 1.956 2.150 2.734
Y 1.956 3.601 6.554
Co 0.000 2.061 4.944
Co 0.000 3.690 1.124
Co 1.956 0.941 5.383
Co 1.956 4.809 1.563

---

[7]
6
Lattice="3.445 0.000 0.000 0.000 3.445 0.000 0.000 0.000 13.172" Properties=species:S:1:pos:R:3 comment="LaYCo | Alexandria | PBE | optimized geometry" polymorph_energy_mev_per_atom=96 space_group=I4mm pbc="T T T"
La 0.000 0.000 0.000
La 1.722 1.722 6.586
Y 0.000 0.000 3.309
Y 1.722 1.722 9.895
Co 0.000 0.000 8.329
Co 1.722 1.722 1.743

---

[8]
3
Lattice="3.969 0.000 0.000 -1.984 3.437 0.000 0.000 0.000 6.366" Properties=species:S:1:pos:R:3 comment="LaYCo | Alexandria | PBE | optimized geometry" polymorph_energy_mev_per_atom=80 space_group=P3m1 pbc="T T T"
La 0.000 0.000 0.000
Y 1.984 1.146 3.444
Co 0.000 2.291 4.920

---

[9]
6
Lattice="0.000 3.632 3.632 3.632 0.000 3.632 3.632 3.632 0.000" Properties=species:S:1:pos:R:3 comment="LaYCo4 | Alexandria | PBE | optimized geometry" polymorph_energy_mev_per_atom=70 space_group=F-43m pbc="T T T"
La 0.000 0.000 0.000
Y 5.449 5.449 5.449
Co 2.728 2.728 2.728
Co 4.537 4.537 2.728
Co 4.537 2.728 4.537
Co 2.728 4.537 4.537

---

[10]
12
Lattice="8.392 -1.884 0.000 8.392 1.884 0.000 -6.933 0.000 9.787" Properties=species:S:1:pos:R:3 comment="LaY3Co2 | Alexandria | PBE | optimized geometry" space_group=C2/m pbc="T T T"
La 0.922 0.000 2.489
La 8.930 0.000 7.298
Y -2.584 0.000 7.335
Y 6.527 0.000 0.602
Y 3.187 0.000 5.405
Y 6.665 0.000 4.382
Y 3.324 0.000 9.185
Y 12.436 0.000 2.452
Co 3.644 0.000 0.410
Co 0.158 0.000 5.442
Co 9.694 0.000 4.345
Co 6.207 0.000 9.376

---

[11]
10
Lattice="5.856 -4.203 0.000 5.856 4.203 0.000 -5.704 0.000 6.007" Properties=species:S:1:pos:R:3 comment="LaY3Co | Alexandria | PBE | optimized geometry" polymorph_energy_mev_per_atom=0 space_group=C2/m pbc="T T T"
La -1.380 0.000 1.957
La 7.387 0.000 4.050
Y 1.762 1.717 1.241
Y 1.762 -1.717 1.241
Y 1.038 0.000 4.514
Y 4.969 0.000 1.492
Y 4.245 1.717 4.766
Y 4.245 -1.717 4.766
Co -2.219 0.000 5.359
Co 8.226 0.000 0.648

---

[12]
11
Lattice="6.267 -4.287 0.000 6.267 4.287 0.000 -2.445 0.000 6.941" Properties=species:S:1:pos:R:3 comment="La8YCo2 | Alexandria | PBE | optimized geometry" space_group=C2/m pbc="T T T"
La 3.197 2.605 4.772
La 0.259 0.000 5.751
La 6.891 2.605 2.169
La 3.852 0.000 2.260
La 6.237 0.000 4.681
La 3.197 -2.605 4.772
La 9.830 0.000 1.190
La 6.891 -2.605 2.169
Y 6.267 0.000 0.000
Co 2.394 0.000 4.306
Co 7.694 0.000 2.635

---

[13]
18
Lattice="6.218 -4.649 0.000 6.218 4.649 0.000 -4.254 0.000 9.236" Properties=species:S:1:pos:R:3 comment="La5YCo3 | Alexandria | PBE | optimized geometry" space_group=C2/m pbc="T T T"
La -0.801 0.000 3.419
La 2.739 1.800 3.028
La 6.218 2.829 0.000
La 1.950 0.000 6.530
La 5.442 1.800 6.208
La 2.739 -1.800 3.028
La 6.231 0.000 2.706
La 6.218 -2.829 0.000
La 5.442 -1.800 6.208
La 8.982 0.000 5.818
Y -0.782 0.000 8.906
Y 8.963 0.000 0.330
Co -0.767 0.000 6.150
Co 1.369 0.000 1.528
Co 6.218 0.000 0.000
Co 4.091 0.000 4.618
Co 6.812 0.000 7.708
Co 8.949 0.000 3.086

---

[14]
12
Lattice="3.855 0.000 0.000 -1.928 3.339 0.000 0.000 0.000 20.074" Properties=species:S:1:pos:R:3 comment="LaYCo2 | Alexandria | PBE | optimized geometry" polymorph_energy_mev_per_atom=320 space_group=R-3m pbc="T T T"
La 0.000 0.000 0.000
La 0.000 2.226 13.382
La 1.928 1.113 6.691
Y 0.000 0.000 10.037
Y 0.000 2.226 3.346
Y 1.928 1.113 16.728
Co 0.000 0.000 4.997
Co 0.000 0.000 15.076
Co 0.000 2.226 8.385
Co 0.000 2.226 18.380
Co 1.928 1.113 1.694
Co 1.928 1.113 11.689

---

[15]
12
Lattice="3.946 0.000 0.000 0.000 4.970 0.000 0.000 0.000 8.672" Properties=species:S:1:pos:R:3 comment="LaYCo10 | Alexandria | PBE | optimized geometry" polymorph_energy_mev_per_atom=0 space_group=Pmmm pbc="T T T"
La 0.000 0.000 0.000
Y 0.000 2.485 4.336
Co 0.000 0.000 2.880
Co 0.000 0.000 5.792
Co 0.000 2.485 1.480
Co 0.000 2.485 7.191
Co 1.973 0.000 4.336
Co 1.973 1.283 2.248
Co 1.973 1.283 6.424
Co 1.973 2.485 0.000
Co 1.973 3.688 2.248
Co 1.973 3.688 6.424

---

[16]
12
Lattice="2.606 0.000 0.000 0.000 8.287 0.000 0.000 0.000 8.650" Properties=species:S:1:pos:R:3 comment="LaYCo10 | Alexandria | PBE | optimized geometry" polymorph_energy_mev_per_atom=874 space_group=Pmm2 pbc="T T T"
La 0.000 0.000 0.000
Y 0.000 4.143 2.828
Co 0.000 0.000 5.421
Co 0.000 1.140 3.150
Co 0.000 2.132 7.176
Co 0.000 2.220 1.073
Co 0.000 2.444 4.999
Co 0.000 4.143 8.319
Co 0.000 5.843 4.999
Co 0.000 6.066 1.073
Co 0.000 6.155 7.176
Co 0.000 7.147 3.150

---

[17]
4
Lattice="3.845 0.000 0.000 0.000 3.845 0.000 0.000 0.000 5.732" Properties=species:S:1:pos:R:3 comment="LaYCo2 | Alexandria | PBE | optimized geometry" polymorph_energy_mev_per_atom=303 space_group=P4mm pbc="T T T"
La 0.000 0.000 0.000
Y 1.922 1.922 2.481
Co 0.000 0.000 3.106
Co 1.922 1.922 5.238

---

[18]
5
Lattice="5.181 0.000 0.000 0.000 5.181 0.000 0.000 0.000 5.402" Properties=species:S:1:pos:R:3 comment="La2YZnCo | Alexandria | PBE | optimized geometry" space_group=P4/mmm pbc="T T T"
La 0.000 2.591 0.000
La 2.591 0.000 0.000
Y 0.000 0.000 2.701
Zn 2.591 2.591 2.701
Co 0.000 0.000 0.000

---

[19]
8
Lattice="5.994 0.000 0.000 0.000 8.136 0.000 -1.309 0.000 2.688" Properties=species:S:1:pos:R:3 comment="LaZnCo2 | Alexandria | PBE | optimized geometry" space_group=C2/m pbc="T T T"
La 0.000 0.000 0.000
La 2.997 4.068 0.000
Zn 0.000 4.068 0.000
Zn 2.997 0.000 0.000
Co 0.844 2.034 1.344
Co 0.844 6.102 1.344
Co 3.841 2.034 1.344
Co 3.841 6.102 1.344

---

[20]
4
Lattice="3.080 0.000 0.000 0.000 3.080 0.000 0.000 0.000 7.141" Properties=species:S:1:pos:R:3 comment="LaZnCo2 | Alexandria | PBE | optimized geometry" space_group=P4mm pbc="T T T"
La 0.000 0.000 0.000
Zn 1.540 1.540 2.448
Co 0.000 0.000 3.899
Co 1.540 1.540 4.975

---

[21]
10
Lattice="5.786 -1.897 0.000 5.786 1.897 0.000 -5.588 0.000 10.700" Properties=species:S:1:pos:R:3 comment="La2Zn2Co | Alexandria | PBE | optimized geometry" polymorph_energy_mev_per_atom=0 space_group=C2/m pbc="T T T"
La -1.067 0.000 3.842
La 1.792 0.000 1.315
La 4.192 0.000 9.385
La 7.051 0.000 6.858
Zn 2.100 0.000 4.394
Zn 5.073 0.000 1.222
Zn 0.911 0.000 9.478
Zn 3.883 0.000 6.306
Co -0.713 0.000 7.519
Co 6.697 0.000 3.181

---

[22]
12
Lattice="4.103 0.000 0.000 -2.051 3.553 0.000 0.000 0.000 15.490" Properties=species:S:1:pos:R:3 comment="LaZnCo2 | Alexandria | PBE | optimized geometry" space_group=R3m pbc="T T T"
La 0.000 0.000 0.000
La 0.000 2.369 10.327
La 2.051 1.184 5.163
Zn 0.000 0.000 3.019
Zn 0.000 2.369 13.345
Zn 2.051 1.184 8.182
Co 0.000 0.000 7.364
Co 0.000 0.000 12.406
Co 0.000 2.369 2.201
Co 0.000 2.369 7.243
Co 2.051 1.184 2.079
Co 2.051 1.184 12.528

---

[23]
4
Lattice="2.982 0.000 0.000 0.000 3.396 0.000 -1.411 0.000 6.247" Properties=species:S:1:pos:R:3 comment="LaZnCo2 | Alexandria | PBE | optimized geometry" space_group=P2/m pbc="T T T"
La 0.000 0.000 0.000
Zn 0.785 0.000 3.123
Co -0.689 1.698 4.337
Co 2.260 1.698 1.909

---

[24]
24
Lattice="12.815 0.000 0.000 0.000 3.870 0.000 0.000 0.000 12.654" Properties=species:S:1:pos:R:3 comment="La3Zn2Co | Alexandria | PBE | optimized geometry" space_group=Pnma pbc="T T T"
La 0.473 0.967 1.643
La 1.583 2.902 6.949
La 3.023 0.967 10.037
La 3.385 2.902 3.710
La 4.825 0.967 0.621
La 5.934 2.902 7.970
La 6.881 0.967 4.684
La 7.990 2.902 12.033
La 9.430 0.967 8.944
La 9.793 2.902 2.617
La 11.233 0.967 5.706
La 12.342 2.902 11.012
Zn 0.273 2.902 4.050
Zn 2.409 2.902 12.571
Zn 3.998 0.967 6.244
Zn 6.134 0.967 10.378
Zn 6.681 2.902 2.277
Zn 8.817 2.902 6.410
Zn 10.406 0.967 0.083
Zn 12.542 0.967 8.604
Co 1.837 0.967 4.876
Co 4.571 2.902 11.203
Co 8.245 0.967 1.451
Co 10.978 2.902 7.779

---

no.,formation energy from the elements (eV per atom)
1,0.3246
2,0.2515
3,-0.0489
4,-0.1166
5,-0.0709
6,-0.1125
7,-0.0410
8,-0.0575
9,-0.0849
10,-0.1248
11,-0.1022
12,0.0246
13,-0.1054
14,0.1987
15,-0.0624
16,0.8112
17,0.1811
18,-0.0550
19,0.3099
20,0.0798
21,-0.2628
22,-0.1250
23,0.1593
24,-0.2259